No. 1
# PdSeF PBE optimized geometry
# Formation energy without anion corrections (kJ per mole of atoms): -67.0
# Excess energy over the best structure of this formula in the dataset (meV per atom): 50
# Crystal system: orthorhombic
data_PdSeF
_cell_length_a 5.8682
_cell_length_b 6.2988
_cell_length_c 5.3143
_cell_angle_alpha 90.00
_cell_angle_beta 90.00
_cell_angle_gamma 90.00
_space_group_name_H-M_alt 'P b c m'
_space_group_IT_number 57
_space_group_name_Hall '-P 2c 2b'
loop_
_atom_site_label
_atom_site_fract_x
_atom_site_fract_y
_atom_site_fract_z
Pd1 0.2413 0.0587 0.2500
Se1 0.1513 0.0645 0.7500
F1 0.4354 0.7382 0.7500

---

No. 2
# PdSeF2 PBE optimized geometry
# Formation energy without anion corrections (kJ per mole of atoms): -56.1
# Excess energy over the best structure of this formula in the dataset (meV per atom): 0
# Crystal system: trigonal
data_PdSeF2
_cell_length_a 2.9245
_cell_length_b 2.9245
_cell_length_c 24.1895
_cell_angle_alpha 90.00
_cell_angle_beta 90.00
_cell_angle_gamma 120.00
_space_group_name_H-M_alt 'R -3 m'
_space_group_IT_number 166
_space_group_name_Hall '-R 3 2"'
loop_
_atom_site_label
_atom_site_fract_x
_atom_site_fract_y
_atom_site_fract_z
Pd1 0.0000 0.0000 0.0000
Se1 0.0000 0.0000 0.5000
F1 0.0000 0.0000 0.4196

---

No. 3
# PdSeF PBE optimized geometry
# Formation energy without anion corrections (kJ per mole of atoms): -71.8
# Excess energy over the best structure of this formula in the dataset (meV per atom): 0
# Crystal system: monoclinic
data_PdSeF
_cell_length_a 6.5885
_cell_length_b 5.4022
_cell_length_c 6.3300
_cell_angle_alpha 90.00
_cell_angle_beta 110.75
_cell_angle_gamma 90.00
_space_group_name_H-M_alt 'P 1 21/c 1'
_space_group_IT_number 14
_space_group_name_Hall '-P 2ybc'
loop_
_atom_site_label
_atom_site_fract_x
_atom_site_fract_y
_atom_site_fract_z
Pd1 0.2409 0.0089 0.2360
Se1 0.3709 0.6121 0.1361
F1 0.0896 0.1455 0.8756

---

No. 4
# Pd2SeF PBE optimized geometry
# Formation energy without anion corrections (kJ per mole of atoms): -43.4
# Excess energy over the best structure of this formula in the dataset (meV per atom): 0
# Crystal system: cubic
data_Pd2SeF
_cell_length_a 6.1473
_cell_length_b 6.1473
_cell_length_c 6.1473
_cell_angle_alpha 90.00
_cell_angle_beta 90.00
_cell_angle_gamma 90.00
_space_group_name_H-M_alt 'F m -3 m'
_space_group_IT_number 225
_space_group_name_Hall '-F 4 2 3'
loop_
_atom_site_label
_atom_site_fract_x
_atom_site_fract_y
_atom_site_fract_z
Pd1 0.2500 0.2500 0.2500
Se1 0.0000 0.0000 0.0000
F1 0.0000 0.0000 0.5000

---

No. 5
# PdSeF3 PBE optimized geometry
# Formation energy without anion corrections (kJ per mole of atoms): -57.1
# Excess energy over the best structure of this formula in the dataset (meV per atom): 540
# Crystal system: cubic
data_PdSeF3
_cell_length_a 4.2840
_cell_length_b 4.2840
_cell_length_c 4.2840
_cell_angle_alpha 90.00
_cell_angle_beta 90.00
_cell_angle_gamma 90.00
_space_group_name_H-M_alt 'P m -3 m'
_space_group_IT_number 221
_space_group_name_Hall '-P 4 2 3'
loop_
_atom_site_label
_atom_site_fract_x
_atom_site_fract_y
_atom_site_fract_z
Pd1 0.0000 0.0000 0.0000
Se1 0.5000 0.5000 0.5000
F1 0.0000 0.0000 0.5000

---

No. 6
# PdSeF3 PBE optimized geometry
# Formation energy without anion corrections (kJ per mole of atoms): -42.0
# Excess energy over the best structure of this formula in the dataset (meV per atom): 696
# Crystal system: cubic
data_PdSeF3
_cell_length_a 4.3290
_cell_length_b 4.3290
_cell_length_c 4.3290
_cell_angle_alpha 90.00
_cell_angle_beta 90.00
_cell_angle_gamma 90.00
_space_group_name_H-M_alt 'P m -3 m'
_space_group_IT_number 221
_space_group_name_Hall '-P 4 2 3'
loop_
_atom_site_label
_atom_site_fract_x
_atom_site_fract_y
_atom_site_fract_z
Pd1 0.0000 0.0000 0.0000
Se1 0.5000 0.5000 0.5000
F1 0.0000 0.5000 0.5000

---

No. 7
# Pd2SeF PBE optimized geometry
# Formation energy without anion corrections (kJ per mole of atoms): -39.8
# Excess energy over the best structure of this formula in the dataset (meV per atom): 38
# Crystal system: tetragonal
data_Pd2SeF
_cell_length_a 6.3804
_cell_length_b 6.3804
_cell_length_c 6.5422
_cell_angle_alpha 90.00
_cell_angle_beta 90.00
_cell_angle_gamma 90.00
_space_group_name_H-M_alt 'I -4 2 d'
_space_group_IT_number 122
_space_group_name_Hall 'I -4 2bw'
loop_
_atom_site_label
_atom_site_fract_x
_atom_site_fract_y
_atom_site_fract_z
Pd1 0.2436 0.2500 0.1250
Se1 0.0000 0.0000 0.5000
F1 0.0000 0.0000 0.0000

---

No. 8
# PdSeF PBE optimized geometry
# Formation energy without anion corrections (kJ per mole of atoms): -61.1
# Excess energy over the best structure of this formula in the dataset (meV per atom): 111
# Crystal system: monoclinic
data_PdSeF
_cell_length_a 10.4012
_cell_length_b 3.1802
_cell_length_c 7.2015
_cell_angle_alpha 90.00
_cell_angle_beta 95.25
_cell_angle_gamma 90.00
_space_group_name_H-M_alt 'C 1 2/m 1'
_space_group_IT_number 12
_space_group_name_Hall '-C 2y'
loop_
_atom_site_label
_atom_site_fract_x
_atom_site_fract_y
_atom_site_fract_z
Pd1 0.0000 0.0000 0.0000
Pd2 0.0000 0.5000 0.5000
Se1 0.1246 0.0000 0.3217
F1 0.1165 0.5000 0.9281

---

No. 9
# Pd2SeF PBE optimized geometry
# Formation energy without anion corrections (kJ per mole of atoms): -40.0
# Excess energy over the best structure of this formula in the dataset (meV per atom): 35
# Crystal system: trigonal
data_Pd2SeF
_cell_length_a 3.1575
_cell_length_b 3.1575
_cell_length_c 23.5294
_cell_angle_alpha 90.00
_cell_angle_beta 90.00
_cell_angle_gamma 120.00
_space_group_name_H-M_alt 'R -3 m'
_space_group_IT_number 166
_space_group_name_Hall '-R 3 2"'
loop_
_atom_site_label
_atom_site_fract_x
_atom_site_fract_y
_atom_site_fract_z
Pd1 0.0000 0.0000 0.0890
Se1 0.0000 0.0000 0.5000
F1 0.0000 0.0000 0.0000

---

No. 10
# PdSe5F PBE optimized geometry
# Formation energy without anion corrections (kJ per mole of atoms): -22.8
# Crystal system: triclinic
data_PdSe5F
_cell_length_a 5.8885
_cell_length_b 5.9295
_cell_length_c 7.2170
_cell_angle_alpha 91.12
_cell_angle_beta 90.74
_cell_angle_gamma 102.41
_space_group_name_H-M_alt 'P 1'
_space_group_IT_number 1
_space_group_name_Hall 'P 1'
loop_
_atom_site_label
_atom_site_fract_x
_atom_site_fract_y
_atom_site_fract_z
Pd1 0.0000 0.0000 0.0000
Se1 0.0743 0.4045 0.1268
Se2 0.1864 0.9172 0.7077
Se3 0.7964 0.1083 0.2701
Se4 0.8387 0.0356 0.6396
Se5 0.8709 0.5925 0.9012
F1 0.3960 0.1729 0.6036

---

No. 11
# PdSeF2 PBE optimized geometry
# Formation energy without anion corrections (kJ per mole of atoms): -51.3
# Excess energy over the best structure of this formula in the dataset (meV per atom): 49
# Crystal system: trigonal
data_PdSeF2
_cell_length_a 2.8567
_cell_length_b 2.8567
_cell_length_c 24.4678
_cell_angle_alpha 90.00
_cell_angle_beta 90.00
_cell_angle_gamma 120.00
_space_group_name_H-M_alt 'R -3 m'
_space_group_IT_number 166
_space_group_name_Hall '-R 3 2"'
loop_
_atom_site_label
_atom_site_fract_x
_atom_site_fract_y
_atom_site_fract_z
Pd1 0.0000 0.0000 0.0000
Se1 0.0000 0.0000 0.5000
F1 0.0000 0.0000 0.0804

---

No. 12
# PdSeF2 PBE optimized geometry
# Formation energy without anion corrections (kJ per mole of atoms): -22.0
# Excess energy over the best structure of this formula in the dataset (meV per atom): 353
# Crystal system: cubic
data_PdSeF2
_cell_length_a 5.9846
_cell_length_b 5.9846
_cell_length_c 5.9846
_cell_angle_alpha 90.00
_cell_angle_beta 90.00
_cell_angle_gamma 90.00
_space_group_name_H-M_alt 'F m -3 m'
_space_group_IT_number 225
_space_group_name_Hall '-F 4 2 3'
loop_
_atom_site_label
_atom_site_fract_x
_atom_site_fract_y
_atom_site_fract_z
Pd1 0.0000 0.0000 0.0000
Se1 0.0000 0.0000 0.5000
F1 0.2500 0.2500 0.2500

---

No. 13
# TcPdSeF2 PBE optimized geometry
# Formation energy without anion corrections (kJ per mole of atoms): -22.8
# Crystal system: tetragonal
data_TcPdSeF2
_cell_length_a 3.9525
_cell_length_b 3.9525
_cell_length_c 5.7270
_cell_angle_alpha 90.00
_cell_angle_beta 90.00
_cell_angle_gamma 90.00
_space_group_name_H-M_alt 'P 4/m m m'
_space_group_IT_number 123
_space_group_name_Hall '-P 4 2'
loop_
_atom_site_label
_atom_site_fract_x
_atom_site_fract_y
_atom_site_fract_z
Tc1 0.0000 0.0000 0.0000
Pd1 0.0000 0.0000 0.5000
Se1 0.5000 0.5000 0.0000
F1 0.0000 0.5000 0.5000